Compound: HfInMoO6
Source: Alexandria via LeMat-Bulk
Functional: PBE with a Hubbard U
Structure: relaxed

Cell lengths 5.3202, 5.3202, 9.2919 Å; angles 90.00, 90.00, 120.00 degrees
Space group P-31c (No. 163)
One atom of each set of equivalent atoms:
Hf: 0.3333 0.6667 0.2500
In: 0.0000 0.0000 0.0000
Mo: 0.3333 0.6667 0.7500
O: 0.0113 0.3556 0.6328

Calculated values
* calculated total energy: -7.65 eV/atom
* density: 7.08 Mg/m³